1.
Material: Ac2VN4
Method: DFT, PBE-GGA
State: relaxed

It has space group P2_1/m (No. 11), with a = 6.0002 Å, b = 5.8900 Å, c = 7.4112 Å, α = 90.00°, β = 109.41° and γ = 90.00°. The distinct sites, in fractional coordinates, are Ac at (0.1961, 0.2500, 0.0271), Ac at (0.2838, 0.2500, 0.5626), V at (0.2408, 0.7500, 0.7937), N at (0.0448, 0.5097, 0.7342), N at (0.3997, 0.7500, 0.0481) and N at (0.4533, 0.7500, 0.6646).

As for the formation energy without anion corrections: -0.975 eV/atom. As for the final energy: -8.21 eV per atom. Its distance to the lowest polymorph of the same formula is 43 kJ/mol of formula units. The calculation puts the density of states at the Fermi level at 0.59 states/eV/atom. The volume is 17.645 Å³/atom.

---

2.
Material: LaCeMg2
Method: DFT, PBE-GGA
State: relaxed

It has space group P4/mmm (No. 123), with a = 3.8714 Å, b = 3.8714 Å, c = 7.9251 Å, α = 90.00°, β = 90.00° and γ = 90.00°. The distinct sites, in fractional coordinates, are La at (0.0000, 0.0000, 0.0000), Ce at (0.0000, 0.0000, 0.5000) and Mg at (0.5000, 0.5000, 0.2586).

As for the final energy: -3.52 eV per atom. Its distance to the lowest polymorph of the same formula is 0 kJ/mol of formula units. As for the calculated formation energy: -9 meV per atom. The calculation puts the density of states at the Fermi level at 2.18 states/eV/atom. The volume is 29.695 Å³/atom.

---

3.
Material: Ti2TcRu
Method: DFT, PBE-GGA
State: relaxed

It has space group Fm-3m (No. 225), with a = 6.1828 Å, b = 6.1828 Å, c = 6.1828 Å, α = 90.00°, β = 90.00° and γ = 90.00°. The distinct sites, in fractional coordinates, are Ti at (0.2500, 0.2500, 0.2500), Tc at (0.0000, 0.0000, 0.0000) and Ru at (0.0000, 0.0000, 0.5000).

As for the final energy: -9.50 eV per atom. Its distance to the lowest polymorph of the same formula is 2 kJ/mol of formula units. As for the calculated formation energy: -641 meV per atom. The calculation puts the density of states at the Fermi level at 0.89 states/eV/atom. The volume is 14.772 Å³/atom.

---

4.
Material: ScSnAsP2
Method: DFT, PBE-GGA
State: relaxed

It has space group P4/mmm (No. 123), with a = 4.9515 Å, b = 4.9515 Å, c = 5.1673 Å, α = 90.00°, β = 90.00° and γ = 90.00°. The distinct sites, in fractional coordinates, are Sc at (0.0000, 0.0000, 0.0000), Sn at (0.5000, 0.5000, 0.5000), As at (0.5000, 0.5000, 0.0000) and P at (0.0000, 0.5000, 0.5000).

As for the final energy: -4.48 eV per atom. As for the calculated formation energy: 680 meV per atom. The calculation puts the density of states at the Fermi level at 0.85 states/eV/atom. The volume is 25.338 Å³/atom.

---

5.
Material: LaCu2Re
Method: DFT, PBE-GGA
State: relaxed

It has space group P2/m (No. 10), with a = 5.0822 Å, b = 2.7906 Å, c = 5.4171 Å, α = 90.00°, β = 113.96° and γ = 90.00°. The distinct sites, in fractional coordinates, are La at (0.0000, 0.0000, 0.0000), Cu at (0.5000, 0.0000, 0.5000), Cu at (0.5000, 0.5000, 0.0000) and Re at (0.0000, 0.5000, 0.5000).

As for the final energy: -5.79 eV per atom. Its distance to the lowest polymorph of the same formula is 91 kJ/mol of formula units. As for the calculated formation energy: 606 meV per atom. The calculation puts the density of states at the Fermi level at 0.53 states/eV/atom. The volume is 17.551 Å³/atom.

---

6.
Material: Ca2GaSi2Ni5
Method: DFT, PBE-GGA
State: relaxed

It has space group P4/mbm (No. 127), with a = 9.9672 Å, b = 9.9672 Å, c = 2.9612 Å, α = 90.00°, β = 90.00° and γ = 90.00°. The distinct sites, in fractional coordinates, are Ca at (0.1741, 0.3259, 0.0000), Ga at (0.0000, 0.0000, 0.0000), Si at (0.1270, 0.6270, 0.0000), Ni at (0.0000, 0.5000, 0.5000) and Ni at (0.0605, 0.7981, 0.5000).

As for the formation energy without anion corrections: -0.370 eV/atom. As for the final energy: -5.05 eV per atom. The calculation puts the density of states at the Fermi level at 0.46 states/eV/atom. The volume is 14.709 Å³/atom.

---

7.
Material: SiSI2
Method: DFT, PBE-GGA
State: relaxed

It has space group I-42d (No. 122), with a = 7.7240 Å, b = 7.7240 Å, c = 7.9723 Å, α = 90.00°, β = 90.00° and γ = 90.00°. The distinct sites, in fractional coordinates, are Si at (0.0000, 0.0000, 0.0000), S at (0.0000, 0.0000, 0.5000) and I at (0.2257, 0.7500, 0.1250).

As for the formation energy without anion corrections: 0.655 eV/atom. As for the final energy: -2.51 eV per atom. Its distance to the lowest polymorph of the same formula is 0 kJ/mol of formula units. The calculation puts the density of states at the Fermi level at 0.29 states/eV/atom. The volume is 29.727 Å³/atom.

---

8.
Material: CdSi2Au
Method: DFT, PBE-GGA
State: relaxed

It has space group P4/mmm (No. 123), with a = 3.5864 Å, b = 3.5864 Å, c = 5.9314 Å, α = 90.00°, β = 90.00° and γ = 90.00°. The distinct sites, in fractional coordinates, are Cd at (0.0000, 0.0000, 0.0000), Si at (0.5000, 0.5000, 0.2946) and Au at (0.0000, 0.0000, 0.5000).

As for the formation energy without anion corrections: 0.352 eV/atom. As for the final energy: -3.41 eV per atom. The calculation puts the density of states at the Fermi level at 0.40 states/eV/atom. The volume is 19.073 Å³/atom.